Record 1
Here is a relaxed structure of Er2Ga3Ni from the Alexandria database. Energies are from PBE.

Unit cell a=5.507 b=5.507 c=7.026 alpha=51.60 beta=51.60 gamma=46.37
Atoms (fractional coordinates):
Er (0.549, 0.549, 0.702)
Er (0.461, 0.461, 0.291)
Ga (0.836, 0.836, 0.092)
Ga (0.148, 0.148, 0.319)
Ga (0.176, 0.176, 0.877)
Ni (0.831, 0.831, 0.720)

Space group: No. 8
Energy of formation (eV per atom): -0.647

Record 2
Here is a relaxed structure of CaLaPb3 from the Alexandria database. Energies are from PBE.

Unit cell a=6.054 b=6.054 c=6.054 alpha=90.00 beta=90.00 gamma=90.00
Atoms (fractional coordinates):
Pb (0.500, 0.000, 0.000)
Pb (0.000, 0.500, 0.000)
Pb (0.000, 0.000, 0.500)
La (0.000, 0.000, 0.000)
Ca (0.500, 0.500, 0.500)

Space group: No. 221
Energy of formation (eV per atom): 0.262
ΔE to the lowest computed polymorph (meV per atom): 87

Record 3
Here is a relaxed structure of SbPd2Ru from the Alexandria database. Energies are from PBE.

Unit cell a=3.827 b=3.827 c=9.992 alpha=78.96 beta=78.96 gamma=90.00
Atoms (fractional coordinates):
Pd (0.875, 0.869, 0.750)
Pd (0.375, 0.381, 0.750)
Pd (0.131, 0.625, 0.250)
Pd (0.619, 0.125, 0.250)
Sb (0.000, 0.000, 0.000)
Sb (0.750, 0.250, 0.500)
Ru (0.250, 0.750, 0.500)
Ru (0.500, 0.500, 0.000)

Calculated total energy (eV/atom): -5.785
Space group: No. 122

Record 4
Here is a relaxed structure of BaYTa2 from the Alexandria database. Energies are from PBE.

Unit cell a=5.631 b=5.631 c=6.887 alpha=86.76 beta=86.76 gamma=32.77
Atoms (fractional coordinates):
Ba (0.250, 0.250, 0.250)
Ta (0.490, 0.490, 0.590)
Ta (0.010, 0.010, 0.910)
Y (0.750, 0.750, 0.750)

Space group: No. 12
Energy of formation (eV per atom): 0.804
ΔE to the lowest computed polymorph (meV per atom): 373

Record 5
Here is a relaxed structure of PrMgGaPd3 from the Alexandria database. Energies are from PBE.

Unit cell a=5.807 b=6.739 c=7.086 alpha=118.39 beta=90.00 gamma=90.00
Atoms (fractional coordinates):
Pd (0.500, 0.297, 0.000)
Pd (0.750, 0.835, 0.669)
Pd (0.250, 0.165, 0.331)
Pd (0.500, 0.703, 0.000)
Pd (0.000, 0.703, 0.000)
Pd (0.000, 0.297, 0.000)
Mg (0.250, 0.948, 0.896)
Mg (0.750, 0.052, 0.104)
Ga (0.250, 0.367, 0.735)
Ga (0.750, 0.633, 0.265)
Pr (0.250, 0.696, 0.392)
Pr (0.750, 0.304, 0.608)

Space group: No. 63
Energy of formation (eV per atom): -0.528

Record 6
Here is a relaxed structure of SiPSe2Br from the Alexandria database. Energies are from PBE.

Unit cell a=4.917 b=4.917 c=4.902 alpha=90.00 beta=90.00 gamma=90.00
Atoms (fractional coordinates):
P (0.000, 0.000, 0.000)
Br (0.000, 0.000, 0.500)
Se (0.000, 0.500, 0.000)
Se (0.500, 0.000, 0.000)
Si (0.500, 0.500, 0.500)

Space group: No. 123
ΔE to the lowest computed polymorph (meV per atom): 0

Record 7
Here is a relaxed structure of ScCd2Hg from the Alexandria database. Energies are from PBE.

Unit cell a=5.216 b=5.216 c=5.604 alpha=77.98 beta=77.98 gamma=37.30
Atoms (fractional coordinates):
Cd (0.248, 0.248, 0.238)
Cd (0.001, 0.001, 0.009)
Hg (0.498, 0.498, 0.516)
Sc (0.753, 0.753, 0.737)

Space group: No. 8
Energy of formation (eV per atom): -0.157

Record 8
Here is a relaxed structure of Li3YAs from the Alexandria database. Energies are from PBE.

Unit cell a=5.278 b=5.278 c=5.278 alpha=90.00 beta=90.00 gamma=90.00
Atoms (fractional coordinates):
Li (0.000, 0.000, 0.500)
Li (0.500, 0.000, 0.000)
Li (0.000, 0.500, 0.000)
As (0.500, 0.500, 0.500)
Y (0.000, 0.000, 0.000)

Space group: No. 221
Energy of formation (eV per atom): 1.137
ΔE to the lowest computed polymorph (meV per atom): 1277

Record 9
Here is a relaxed structure of Tb4Mg3Au from the Alexandria database. Energies are from PBE.

Unit cell a=3.743 b=3.743 c=14.980 alpha=90.00 beta=90.00 gamma=90.00
Atoms (fractional coordinates):
Tb (0.000, 0.000, 0.371)
Tb (0.000, 0.000, 0.114)
Tb (0.000, 0.000, 0.629)
Tb (0.000, 0.000, 0.886)
Mg (0.500, 0.500, 0.246)
Mg (0.500, 0.500, 0.754)
Mg (0.500, 0.500, 0.500)
Au (0.500, 0.500, 0.000)

Space group: No. 123
Energy of formation (eV per atom): -0.278

Record 10
Here is a relaxed structure of HAuSe from the Alexandria database. Energies are from PBE.

Unit cell a=3.879 b=3.879 c=7.200 alpha=90.00 beta=90.00 gamma=90.00
Atoms (fractional coordinates):
H (0.000, 0.000, 0.146)
H (0.500, 0.500, 0.646)
Au (0.500, 0.500, 0.368)
Au (0.000, 0.000, 0.868)
Se (0.500, 0.500, 0.863)
Se (0.000, 0.000, 0.363)

Space group: No. 107
ΔE to the lowest computed polymorph (meV per atom): 183

Record 11
Here is a relaxed structure of YP2Br from the Alexandria database. Energies are from PBE.

Unit cell a=7.085 b=7.085 c=7.085 alpha=151.13 beta=137.24 gamma=52.42
Atoms (fractional coordinates):
P (0.974, 0.974, 0.000)
P (0.857, 0.357, 0.500)
Br (0.248, 0.748, 0.500)
Y (0.420, 0.420, 0.000)

Space group: No. 44
ΔE to the lowest computed polymorph (meV per atom): 146

Record 12
Here is a relaxed structure of Mn2TlIr from the Alexandria database. Energies are from PBE.

Unit cell a=4.532 b=4.532 c=4.532 alpha=60.00 beta=60.00 gamma=60.00
Atoms (fractional coordinates):
Mn (0.000, 0.000, 0.000)
Mn (0.250, 0.250, 0.250)
Tl (0.750, 0.750, 0.750)
Ir (0.500, 0.500, 0.500)

Space group: No. 216
Energy of formation (eV per atom): 0.336
ΔE to the lowest computed polymorph (meV per atom): 106

Record 13
Here is a relaxed structure of K2MoOs from the Alexandria database. Energies are from PBE.

Unit cell a=2.692 b=2.692 c=11.913 alpha=90.00 beta=90.00 gamma=90.00
Atoms (fractional coordinates):
K (0.000, 0.000, 0.514)
K (0.000, 0.000, 0.986)
Mo (0.500, 0.500, 0.250)
Os (0.500, 0.500, 0.750)

Space group: No. 123
Energy of formation (eV per atom): 1.475
ΔE to the lowest computed polymorph (meV per atom): 666

Record 14
Here is a relaxed structure of KMg2GeS from the Alexandria database. Energies are from PBE.

Unit cell a=5.001 b=6.001 c=5.001 alpha=90.00 beta=90.00 gamma=90.00
Atoms (fractional coordinates):
Mg (0.500, 0.000, 0.000)
Mg (0.000, 0.000, 0.500)
Ge (0.000, 0.000, 0.000)
S (0.500, 0.500, 0.500)
K (0.000, 0.500, 0.000)

Calculated total energy (eV/atom): -2.589
Space group: No. 123

Record 15
Here is a relaxed structure of La6Tc2Hg from the Alexandria database. Energies are from PBE.

Unit cell a=8.874 b=8.874 c=8.874 alpha=106.16 beta=110.34 gamma=111.97
Atoms (fractional coordinates):
Tc (0.500, 0.615, 0.115)
Tc (0.500, 0.385, 0.885)
Tc (0.328, 0.000, 0.328)
Tc (0.672, 0.000, 0.672)
La (0.529, 0.715, 0.814)
La (0.313, 0.641, 0.328)
La (0.098, 0.285, 0.814)
La (0.794, 0.231, 0.025)
La (0.206, 0.231, 0.437)
La (0.794, 0.769, 0.563)
La (0.902, 0.715, 0.186)
La (0.313, 0.985, 0.672)
La (0.206, 0.769, 0.975)
La (0.687, 0.015, 0.328)
La (0.471, 0.285, 0.186)
La (0.687, 0.359, 0.672)
Hg (0.000, 0.500, 0.500)
Hg (0.000, 0.000, 0.000)

Space group: No. 71
Energy of formation (eV per atom): -0.139

Record 16
Here is a relaxed structure of ScCdGa4 from the Alexandria database. Energies are from PBE.

Unit cell a=5.450 b=5.450 c=5.450 alpha=60.00 beta=60.00 gamma=60.00
Atoms (fractional coordinates):
Cd (0.000, 0.000, 0.000)
Ga (0.625, 0.625, 0.625)
Ga (0.126, 0.625, 0.625)
Ga (0.625, 0.126, 0.625)
Ga (0.625, 0.625, 0.126)
Sc (0.250, 0.250, 0.250)

Space group: No. 216
Energy of formation (eV per atom): -0.134

Record 17
Here is a relaxed structure of LaAgN2 from the Alexandria database. Energies are from PBE.

Unit cell a=6.495 b=6.495 c=6.495 alpha=35.26 beta=35.26 gamma=35.26
Atoms (fractional coordinates):
N (0.890, 0.890, 0.890)
N (0.110, 0.110, 0.110)
Ag (0.000, 0.000, 0.000)
La (0.500, 0.500, 0.500)

Space group: No. 166
ΔE to the lowest computed polymorph (meV per atom): 0

Record 18
Here is a relaxed structure of Nd2Cu3Ge4 from the Alexandria database. Energies are from PBE.

Unit cell a=5.789 b=7.573 c=8.079 alpha=90.00 beta=110.99 gamma=90.00
Atoms (fractional coordinates):
Ge (0.818, 0.022, 0.636)
Ge (0.805, 0.250, 0.110)
Ge (0.695, 0.750, 0.890)
Ge (0.195, 0.750, 0.890)
Ge (0.182, 0.978, 0.364)
Ge (0.305, 0.250, 0.110)
Ge (0.318, 0.478, 0.636)
Ge (0.682, 0.522, 0.364)
Cu (0.031, 0.750, 0.562)
Cu (0.969, 0.250, 0.438)
Cu (0.469, 0.250, 0.438)
Cu (0.000, 0.000, 0.000)
Cu (0.500, 0.500, 0.000)
Cu (0.531, 0.750, 0.562)
Nd (0.387, 0.093, 0.775)
Nd (0.613, 0.907, 0.225)
Nd (0.887, 0.407, 0.775)
Nd (0.113, 0.593, 0.225)

Space group: No. 64
Energy of formation (eV per atom): -0.435

Record 19
Here is a relaxed structure of CsCeBr2 from the Alexandria database. Energies are from PBE.

Unit cell a=4.149 b=4.149 c=11.322 alpha=79.44 beta=79.44 gamma=60.00
Atoms (fractional coordinates):
Br (0.107, 0.107, 0.678)
Br (0.893, 0.893, 0.322)
Cs (0.000, 0.000, 0.000)
Ce (0.500, 0.500, 0.500)

Calculated total energy (eV/atom): -3.694
Space group: No. 166

Record 20
Here is a relaxed structure of Ni2SbAu2 from the Alexandria database. Energies are from PBE.

Unit cell a=7.475 b=7.475 c=3.003 alpha=90.00 beta=90.00 gamma=90.00
Atoms (fractional coordinates):
Au (0.861, 0.639, 0.000)
Au (0.639, 0.139, 0.000)
Au (0.361, 0.861, 0.000)
Au (0.139, 0.361, 0.000)
Ni (0.156, 0.656, 0.500)
Ni (0.656, 0.844, 0.500)
Ni (0.844, 0.344, 0.500)
Ni (0.344, 0.156, 0.500)
Sb (0.500, 0.500, 0.000)
Sb (0.000, 0.000, 0.000)

Space group: No. 127
ΔE to the lowest computed polymorph (meV per atom): 130